A plane-wave DFT calculation with PBE+U was carried out for a relaxed structure of TbAl2WO8. Values from VASP.

Computed properties:
Total energy   -89.3 eV/cell
Space group   No. 65

Geometry as Quantum ESPRESSO input:
```
&SYSTEM
  ibrav = 0, nat = 12, ntyp = 4
/
ATOMIC_SPECIES
Tb 158.93 Tb.upf
Al 26.98 Al.upf
W 183.84 W.upf
O 16.00 O.upf
ATOMIC_POSITIONS crystal
Tb 0.000 0.000 0.500
Al 0.500 0.500 0.763
Al 0.500 0.500 0.237
W 0.000 0.000 0.000
O 0.208 0.791 0.217
O 0.697 0.697 0.000
O 0.792 0.209 0.217
O 0.792 0.209 0.783
O 0.303 0.303 0.000
O 0.208 0.791 0.783
O 0.663 0.664 0.500
O 0.337 0.336 0.500
CELL_PARAMETERS angstrom
-3.888 -2.349 0.750
-0.577 -0.594 -4.527
3.333 -5.426 0.288
```